Computed, not measured: an optimized crystal structure of KMnCu at the PBE level of DFT.

The structure belongs to space group I4mm (No. 107); the cell edges are 3.424, 3.424 and 12.392 Å and the angles 90.00°, 90.00° and 90.00°. The distinct sites, in fractional coordinates, are K at (0.000, 0.000, 0.000), Mn at (0.000, 0.000, 0.733) and Cu at (0.000, 0.000, 0.286).

Its crystal system is tetragonal. The total energy comes out at -4.199 eV per atom.

Computed, not measured: an optimized crystal structure of KMn2Cu at the PBE level of DFT.

The structure belongs to space group P4/mmm (No. 123); the cell edges are 3.143, 3.143 and 8.748 Å and the angles 90.00°, 90.00° and 90.00°. The distinct sites, in fractional coordinates, are K at (0.000, 0.000, 0.000), Mn at (0.500, 0.500, 0.342) and Cu at (0.000, 0.000, 0.500).

Its crystal system is tetragonal. The total energy comes out at -5.191 eV per atom.

Computed, not measured: an optimized crystal structure of KMn2Cu at the PBE level of DFT.

The structure belongs to space group P4/mmm (No. 123); the cell edges are 4.904, 4.904 and 3.223 Å and the angles 90.00°, 90.00° and 90.00°. The distinct sites, in fractional coordinates, are K at (0.000, 0.000, 0.000), Mn at (0.000, 0.500, 0.500) and Cu at (0.500, 0.500, 0.000).

Its crystal system is tetragonal. The total energy comes out at -4.717 eV per atom.

Computed, not measured: an optimized crystal structure of KMn2Cu at the PBE level of DFT.

The structure belongs to space group R3m (No. 160, hexagonal axes); the cell edges are 2.9487, 2.9487 and 29.4605 Å and the angles 90.00°, 90.00° and 120.00°. The distinct sites, in fractional coordinates, are K at (0.0000, 0.0000, 0.0000), Mn at (0.0000, 0.0000, 0.5067), Mn at (0.0000, 0.0000, 0.7696) and Cu at (0.0000, 0.0000, 0.2391).

Its crystal system is trigonal. The total energy comes out at -5.075 eV per atom.

Results for E above lowest polymorph: 0.0000, 0.0500, 0.5236, 0.1653 (in eV per atom, following the order of the records).
Results for DOS at the Fermi energy: 3.112, 3.543, 2.827, 9.650 (in states/eV/cell, following the order of the records).